VASP calculation (PBE) on MgInW2 after structural relaxation.

Cell lengths 2.804, 4.731, 5.462 Å; angles 90.00, 101.38, 90.00 degrees
Element x y z (fractional)
Mg1 0.000 0.000 0.000
In1 0.500 0.000 0.500
W1 0.280 0.500 0.767
W2 0.720 0.500 0.233

Properties
As for the energy of formation: 0.487 eV/atom. The value obtained for the energy is -0.2599 hartree per atom. Its distance to the lowest polymorph of the same formula is 72 kJ/mol of formula units.